Ac2Sm12Au7 PBE-GGA relaxed; energy of formation = -0.532 eV per atom; density of states at the Fermi level = 19.53 states/eV/f.u.; DFT total energy = -98.955 eV for the cell shown
1.0
-4.312 1.468 -1.985
-5.737 -8.804 5.951
1.346 10.859 5.110
Sm Au Ac
12 7 2
Direct
0.000 0.453 0.508
0.500 0.233 0.784
0.000 0.255 0.026
0.500 0.216 0.449
0.000 0.771 0.745
0.500 0.551 0.767
0.500 0.724 0.122
0.000 0.492 0.945
0.500 0.398 0.276
0.000 0.055 0.547
0.500 0.878 0.602
0.000 0.974 0.229
0.500 0.939 0.385
0.000 0.333 0.667
0.000 0.026 0.775
0.000 0.749 0.974
0.500 0.446 0.061
0.000 0.225 0.251
0.500 0.615 0.554
0.500 0.000 0.000
0.000 0.667 0.333